This record from OQMD via LeMat-Bulk describes CoAgSO after structural relaxation. The functional is PBE with a Hubbard U.

Calculated values
crystal system = orthorhombic
mass density = 4.5 Mg/m³
distance to the lowest polymorph of the same formula = 137 meV per atom

Lattice parameters (Å, degrees): 6.004 6.980 7.492 90.00 90.00 90.00
Element x y z (fractional)
Ag (0.250, 0.717, 0.031)
Ag (0.750, 0.217, 0.469)
Ag (0.250, 0.283, 0.531)
Ag (0.750, 0.783, 0.969)
Co (0.111, 0.236, 0.085)
Co (0.889, 0.736, 0.415)
Co (0.389, 0.764, 0.585)
Co (0.611, 0.264, 0.915)
O (0.408, 0.222, 0.085)
O (0.592, 0.722, 0.415)
O (0.092, 0.778, 0.585)
O (0.908, 0.278, 0.915)
S (0.997, 0.929, 0.177)
S (0.003, 0.429, 0.323)
S (0.503, 0.071, 0.677)
S (0.497, 0.571, 0.823)